[1]
## Cr2MoPdCl (PBE)

Data for an optimized crystal structure of Cr2MoPdCl.

Output
Electronic total energy (eV/cell): -30.0
Uncorrected formation energy (eV per atom): 1.420
Total magnetic moment (μB/f.u.): 8.26

a = 4.995 Å, b = 4.995 Å, c = 4.755 Å
α = 90.00°, β = 90.00°, γ = 90.00°
Sites, in units of the cell vectors:
Cr 0.000 0.500 0.000
Cr 0.500 0.000 0.000
Mo 0.000 0.000 0.500
Pd 0.000 0.000 0.000
Cl 0.500 0.500 0.500


[2]
## CrMoPt2Cl (PBE)

Data for an optimized crystal structure of CrMoPt2Cl.

Output
Electronic total energy (eV/cell): -28.4
Uncorrected formation energy (eV per atom): 1.194
Total magnetic moment (μB/f.u.): 0.01

a = 4.636 Å, b = 4.636 Å, c = 4.542 Å
α = 90.00°, β = 90.00°, γ = 90.00°
Sites, in units of the cell vectors:
Cr 0.000 0.000 0.000
Mo 0.000 0.000 0.500
Pt 0.000 0.500 0.000
Pt 0.500 0.000 0.000
Cl 0.500 0.500 0.500


[3]
## Rb2CrMoCl (PBE)

Data for an optimized crystal structure of Rb2CrMoCl.

Output
Electronic total energy (eV/cell): -20.0
Uncorrected formation energy (eV per atom): 0.841
Total magnetic moment (μB/f.u.): 0.17

a = 6.356 Å, b = 6.356 Å, c = 5.022 Å
α = 90.00°, β = 90.00°, γ = 90.00°
Sites, in units of the cell vectors:
Rb 0.000 0.500 0.000
Rb 0.500 0.000 0.000
Cr 0.000 0.000 0.500
Mo 0.500 0.500 0.500
Cl 0.000 0.000 0.000


[4]
## Rb2CrMoCl6 (PBE)

Data for an optimized crystal structure of Rb2CrMoCl6.

Output
Electronic total energy (eV/cell): -44.3
Uncorrected formation energy (eV per atom): -1.081
Total magnetic moment (μB/f.u.): 3.99

a = 7.021 Å, b = 7.021 Å, c = 7.021 Å
α = 114.79°, β = 114.79°, γ = 99.28°
Sites, in units of the cell vectors:
Rb 0.250 0.750 0.500
Rb 0.750 0.250 0.500
Cr 0.000 0.000 0.000
Mo 0.500 0.500 0.000
Cl 0.244 0.244 0.000
Cl 0.266 0.266 0.531
Cl 0.266 0.734 0.000
Cl 0.734 0.266 0.000
Cl 0.734 0.734 0.469
Cl 0.756 0.756 0.000


[5]
## CrMoSCl2 (PBE)

Data for an optimized crystal structure of CrMoSCl2.

Output
Electronic total energy (eV/cell): -27.0
Uncorrected formation energy (eV per atom): 0.252
Excess energy over the best structure of this formula in the dataset (meV per atom): 108
Total magnetic moment (μB/f.u.): 8.00

a = 4.658 Å, b = 4.658 Å, c = 4.944 Å
α = 90.00°, β = 90.00°, γ = 90.00°
Sites, in units of the cell vectors:
Cr 0.000 0.000 0.000
Mo 0.500 0.500 0.500
S 0.000 0.000 0.500
Cl 0.000 0.500 0.000
Cl 0.500 0.000 0.000


[6]
## CrMoSCl2 (PBE)

Data for an optimized crystal structure of CrMoSCl2.

Output
Electronic total energy (eV/cell): -27.6
Uncorrected formation energy (eV per atom): 0.144
Excess energy over the best structure of this formula in the dataset (meV per atom): 0
Total magnetic moment (μB/f.u.): 3.56

a = 4.976 Å, b = 4.976 Å, c = 4.596 Å
α = 90.00°, β = 90.00°, γ = 90.00°
Sites, in units of the cell vectors:
Cr 0.000 0.000 0.000
Mo 0.500 0.500 0.500
S 0.500 0.500 0.000
Cl 0.000 0.500 0.500
Cl 0.500 0.000 0.500


[7]
## Cr2SbMoCl (PBE)

Data for an optimized crystal structure of Cr2SbMoCl.

Output
Electronic total energy (eV/cell): -31.1
Uncorrected formation energy (eV per atom): 0.982
Total magnetic moment (μB/f.u.): 6.25

a = 4.863 Å, b = 4.863 Å, c = 5.172 Å
α = 90.00°, β = 90.00°, γ = 90.00°
Sites, in units of the cell vectors:
Cr 0.000 0.500 0.000
Cr 0.500 0.000 0.000
Sb 0.000 0.000 0.500
Mo 0.000 0.000 0.000
Cl 0.500 0.500 0.500


[8]
## CrTeMo2Cl (PBE)

Data for an optimized crystal structure of CrTeMo2Cl.

Output
Electronic total energy (eV/cell): -31.3
Uncorrected formation energy (eV per atom): 0.988
Total magnetic moment (μB/f.u.): 0.63

a = 4.576 Å, b = 4.576 Å, c = 4.309 Å
α = 90.00°, β = 90.00°, γ = 90.00°
Sites, in units of the cell vectors:
Cr 0.000 0.000 0.000
Te 0.500 0.500 0.000
Mo 0.000 0.500 0.500
Mo 0.500 0.000 0.500
Cl 0.000 0.000 0.500


[9]
## VCrMo2Cl (PBE)

Data for an optimized crystal structure of VCrMo2Cl.

Output
Electronic total energy (eV/cell): -35.0
Uncorrected formation energy (eV per atom): 1.450
Total magnetic moment (μB/f.u.): 0.00

a = 4.580 Å, b = 4.580 Å, c = 4.374 Å
α = 90.00°, β = 90.00°, γ = 90.00°
Sites, in units of the cell vectors:
V 0.000 0.000 0.000
Cr 0.000 0.000 0.500
Mo 0.000 0.500 0.500
Mo 0.500 0.000 0.500
Cl 0.500 0.500 0.000


[10]
## ZrCrMoCl2 (PBE)

Data for an optimized crystal structure of ZrCrMoCl2.

Output
Electronic total energy (eV/cell): -29.4
Uncorrected formation energy (eV per atom): 0.665
Total magnetic moment (μB/f.u.): 1.54

a = 4.479 Å, b = 4.479 Å, c = 5.061 Å
α = 90.00°, β = 90.00°, γ = 90.00°
Sites, in units of the cell vectors:
Zr 0.000 0.000 0.000
Cr 0.500 0.500 0.500
Mo 0.500 0.500 0.000
Cl 0.000 0.500 0.500
Cl 0.500 0.000 0.500


[11]
## CrN2Cl (PBE)

Data for an optimized crystal structure of CrN2Cl.

Output
Electronic total energy (eV/cell): -20.0
Uncorrected formation energy (eV per atom): 2.019
Excess energy over the best structure of this formula in the dataset (meV per atom): 1662
Total magnetic moment (μB/f.u.): 0.00

a = 3.779 Å, b = 3.779 Å, c = 3.779 Å
α = 60.00°, β = 60.00°, γ = 60.00°
Sites, in units of the cell vectors:
Cr 0.000 0.000 0.000
N 0.250 0.250 0.250
N 0.750 0.750 0.750
Cl 0.500 0.500 0.500


[12]
## CrN2Cl (PBE)

Data for an optimized crystal structure of CrN2Cl.

Output
Electronic total energy (eV/cell): -53.4
Uncorrected formation energy (eV per atom): 0.358
Excess energy over the best structure of this formula in the dataset (meV per atom): 0
Total magnetic moment (μB/f.u.): 0.96

a = 5.664 Å, b = 5.664 Å, c = 5.664 Å
α = 60.00°, β = 60.00°, γ = 60.00°
Sites, in units of the cell vectors:
Cr 0.125 0.125 0.125
Cr 0.875 0.875 0.875
N 0.000 0.000 0.000
N 0.000 0.000 0.500
N 0.000 0.500 0.000
N 0.500 0.000 0.000
Cl 0.375 0.375 0.375
Cl 0.625 0.625 0.625